Computed, not measured: a relaxed Rb2MnZn3F12 crystal at the PBE with a Hubbard U level of DFT.

The raw total energy comes out at -4.41 eV per atom. As for the space group: No. 166. As for the magnetization: 0.167 μB per atom.

Geometry as CIF:
```
data_Rb2MnZn3F12
_chemical_formula_sum 'Rb2 Mn1 Zn3 F12'
_cell_length_a 7.562
_cell_length_b 7.562
_cell_length_c 7.562
_cell_angle_alpha 57.74
_cell_angle_beta 57.74
_cell_angle_gamma 57.74
_symmetry_space_group_name_H-M 'P 1'
_symmetry_Int_Tables_number 1
loop_
_symmetry_equiv_pos_as_xyz
'x,y,z'
loop_
_atom_site_label
_atom_site_fract_x
_atom_site_fract_y
_atom_site_fract_z
_atom_site_occupancy
Rb1 0.391 0.391 0.391 1
Rb2 0.609 0.609 0.609 1
Zn1 0.000 0.500 0.000 1
Zn2 0.500 0.000 0.000 1
Zn3 0.000 0.000 0.500 1
F1 0.066 0.703 0.066 1
F2 0.329 0.927 0.329 1
F3 0.934 0.934 0.297 1
F4 0.073 0.671 0.671 1
F5 0.297 0.934 0.934 1
F6 0.671 0.073 0.671 1
F7 0.329 0.329 0.927 1
F8 0.671 0.671 0.073 1
F9 0.934 0.297 0.934 1
F10 0.927 0.329 0.329 1
F11 0.066 0.066 0.703 1
F12 0.703 0.066 0.066 1
Mn1 0.000 0.000 0.000 1
```